[1]
Below is crystalline La3CuTc at its relaxed geometry, with properties calculated at the PBE level.

Cell lengths 5.447, 5.447, 5.447 Å; angles 90.00, 90.00, 90.00 degrees
Positions (direct):
1 Tc 0.000 0.000 0.000
2 Cu 0.500 0.500 0.500
3 La 0.000 0.500 0.000
4 La 0.000 0.000 0.500
5 La 0.500 0.000 0.000

Output
* crystal system: cubic
* Fermi-level density of states: 5.35 states/eV/f.u.
* space-group type: No. 221
* E_form: 0.19 eV per atom
* total magnetic moment: 0.000 Bohr magnetons per cell


[2]
Below is crystalline LaCu2Tc2 at its relaxed geometry, with properties calculated at the PBE level.

Cell lengths 4.304, 4.304, 5.900 Å; angles 68.61, 68.61, 90.00 degrees
Positions (direct):
1 Tc 0.391 0.391 0.219
2 Tc 0.609 0.609 0.781
3 Cu 0.750 0.250 0.500
4 Cu 0.250 0.750 0.500
5 La 0.000 0.000 0.000

Output
* crystal system: tetragonal
* Fermi-level density of states: 4.21 states/eV/f.u.
* space-group type: No. 139
* E_form: 0.23 eV per atom
* total magnetic moment: 0.000 Bohr magnetons per cell


[3]
Below is crystalline La2CuTc at its relaxed geometry, with properties calculated at the PBE level.

Cell lengths 4.413, 4.155, 5.767 Å; angles 68.91, 90.00, 90.00 degrees
Positions (direct):
1 Cu 0.500 0.562 0.752
2 La 0.000 0.983 0.909
3 La 0.500 0.265 0.345
4 Tc 0.000 0.690 0.494

Output
* crystal system: orthorhombic
* Fermi-level density of states: 3.81 states/eV/f.u.
* space-group type: No. 38
* E_form: 0.02 eV per atom
* total magnetic moment: 0.000 Bohr magnetons per cell


[4]
Below is crystalline LaCuTc at its relaxed geometry, with properties calculated at the PBE level.

Cell lengths 5.429, 5.429, 3.523 Å; angles 71.07, 71.07, 37.87 degrees
Positions (direct):
1 Cu 0.042 0.042 0.958
2 La 0.338 0.338 0.662
3 Tc 0.620 0.620 0.380

Output
* crystal system: tetragonal
* Fermi-level density of states: 2.93 states/eV/f.u.
* space-group type: No. 107
* E_form: 0.27 eV per atom
* total magnetic moment: 0.000 Bohr magnetons per cell


[5]
Below is crystalline LaCuTc at its relaxed geometry, with properties calculated at the PBE level.

Cell lengths 4.545, 4.545, 4.545 Å; angles 60.00, 60.00, 60.00 degrees
Site moments in Bohr magnetons follow the coordinates.
Positions (direct):
1 Cu 0.500 0.500 0.500  0.00
2 La 0.750 0.750 0.750  -0.01
3 Tc 0.000 0.000 0.000  0.81

Output
* crystal system: cubic
* Fermi-level density of states: 4.59 states/eV/f.u.
* space-group type: No. 216
* E_form: 1.10 eV per atom
* total magnetic moment: 0.840 Bohr magnetons per cell


[6]
Below is crystalline La2CuTc2 at its relaxed geometry, with properties calculated at the PBE level.

Cell lengths 6.941, 6.941, 4.591 Å; angles 90.00, 90.00, 90.00 degrees
Positions (direct):
1 Tc 0.382 0.882 0.000
2 Tc 0.882 0.618 0.000
3 Tc 0.618 0.118 0.000
4 Tc 0.118 0.382 0.000
5 Cu 0.000 0.000 0.000
6 Cu 0.500 0.500 0.000
7 La 0.186 0.686 0.500
8 La 0.686 0.814 0.500
9 La 0.814 0.314 0.500
10 La 0.314 0.186 0.500

Output
* crystal system: tetragonal
* Fermi-level density of states: 4.25 states/eV/f.u.
* space-group type: No. 127
* E_form: 0.16 eV per atom
* total magnetic moment: 0.000 Bohr magnetons per cell


[7]
Below is crystalline La2CuTc at its relaxed geometry, with properties calculated at the PBE level.

Cell lengths 7.804, 7.804, 6.364 Å; angles 52.18, 52.18, 90.00 degrees
Positions (direct):
1 Tc 0.000 0.000 0.000
2 Tc 0.750 0.250 0.500
3 Cu 0.500 0.500 0.000
4 Cu 0.250 0.750 0.500
5 La 0.655 0.125 0.250
6 La 0.095 0.625 0.250
7 La 0.375 0.345 0.750
8 La 0.875 0.905 0.750

Output
* crystal system: tetragonal
* Fermi-level density of states: 1.03 states/eV/f.u.
* space-group type: No. 122
* E_form: 0.29 eV per atom
* total magnetic moment: 0.000 Bohr magnetons per cell


[8]
Below is crystalline LaCu2Te at its relaxed geometry, with properties calculated at the PBE level.

Cell lengths 6.209, 6.209, 6.209 Å; angles 40.71, 40.71, 40.71 degrees
Positions (direct):
1 Cu 0.975 0.975 0.975
2 Cu 0.285 0.285 0.285
3 La 0.518 0.518 0.518
4 Te 0.722 0.722 0.722

Output
* formation energy (no corrections): -458.1 meV per atom
* crystal system: trigonal
* Fermi-level density of states: 1.93 states/eV/f.u.
* space-group type: No. 160
* total magnetic moment: 0.000 Bohr magnetons per cell


Number 1: E_tot -5.656 eV/atom. Number 2: E_tot -6.545 eV/atom. Number 3: E_tot -6.058 eV/atom. Number 4: E_tot -6.190 eV/atom. Number 5: E_tot -5.358 eV/atom. Number 6: E_tot -6.780 eV/atom. Number 7: E_tot -5.788 eV/atom. Number 8: E_tot -4.524 eV/atom.